[1]
# Li4Ni7O14

Li4Ni7O14 after structural relaxation (PBE+U, Alexandria).

a b c (Å): 4.928 6.463 7.658
angles (deg): 87.83 79.55 83.64
Positions (direct):
1 Li 0.074 0.357 0.360
2 Li 0.223 0.075 0.075
3 Li 0.777 0.925 0.925
4 Li 0.926 0.643 0.640
5 Ni 0.000 0.500 0.000
6 Ni 0.139 0.212 0.720
7 Ni 0.288 0.924 0.431
8 Ni 0.431 0.638 0.144
9 Ni 0.569 0.362 0.856
10 Ni 0.712 0.076 0.569
11 Ni 0.861 0.788 0.280
12 O 0.013 0.957 0.675
13 O 0.088 0.765 0.054
14 O 0.163 0.669 0.379
15 O 0.224 0.477 0.773
16 O 0.307 0.386 0.097
17 O 0.372 0.188 0.495
18 O 0.451 0.106 0.821
19 O 0.549 0.894 0.179
20 O 0.628 0.812 0.505
21 O 0.693 0.614 0.903
22 O 0.776 0.523 0.227
23 O 0.837 0.331 0.621
24 O 0.912 0.235 0.946
25 O 0.987 0.043 0.325

Values from the calculation:
SG: No. 2
Energy: -4.79 eV per atom
M_tot: 4.00 μB per formula unit
Crystal system: triclinic

[2]
# LiNiO2

LiNiO2 after structural relaxation (PBE+U, Alexandria).

a b c (Å): 5.789 5.789 5.789
angles (deg): 120.54 89.33 120.23
Positions (direct):
1 Li 0.000 0.000 0.000
2 Li 0.500 0.000 0.000
3 Li 0.500 0.000 0.500
4 Li 0.500 0.500 0.500
5 Ni 0.000 0.000 0.500
6 Ni 0.000 0.500 0.000
7 Ni 0.000 0.500 0.500
8 Ni 0.500 0.500 0.000
9 O 0.220 0.970 0.250
10 O 0.234 0.000 0.734
11 O 0.234 0.500 0.234
12 O 0.249 0.499 0.750
13 O 0.751 0.501 0.250
14 O 0.766 0.000 0.266
15 O 0.766 0.500 0.766
16 O 0.780 0.030 0.750

Values from the calculation:
SG: No. 74
Energy: -4.83 eV per atom
M_tot: 1.01 μB per formula unit
Crystal system: orthorhombic

[3]
# LiNi2O4

LiNi2O4 after structural relaxation (PBE+U, Alexandria).

a b c (Å): 5.788 5.788 5.788
angles (deg): 121.79 121.73 86.98
Positions (direct):
1 Li 0.362 0.112 0.250
2 Li 0.638 0.888 0.750
3 Ni 0.000 0.000 0.500
4 Ni 0.000 0.500 0.000
5 Ni 0.000 0.500 0.500
6 Ni 0.500 0.500 0.000
7 O 0.220 0.749 0.471
8 O 0.223 0.251 0.971
9 O 0.224 0.249 0.526
10 O 0.224 0.698 0.974
11 O 0.776 0.302 0.026
12 O 0.776 0.751 0.474
13 O 0.777 0.749 0.029
14 O 0.780 0.251 0.529

Values from the calculation:
SG: No. 74
Energy: -4.81 eV per atom
M_tot: 1.00 μB per formula unit
Crystal system: orthorhombic

Repeat the third record exactly.
# LiNi2O4

LiNi2O4 after structural relaxation (PBE+U, Alexandria).

a b c (Å): 5.788 5.788 5.788
angles (deg): 121.79 121.73 86.98
Positions (direct):
1 Li 0.362 0.112 0.250
2 Li 0.638 0.888 0.750
3 Ni 0.000 0.000 0.500
4 Ni 0.000 0.500 0.000
5 Ni 0.000 0.500 0.500
6 Ni 0.500 0.500 0.000
7 O 0.220 0.749 0.471
8 O 0.223 0.251 0.971
9 O 0.224 0.249 0.526
10 O 0.224 0.698 0.974
11 O 0.776 0.302 0.026
12 O 0.776 0.751 0.474
13 O 0.777 0.749 0.029
14 O 0.780 0.251 0.529

Values from the calculation:
SG: No. 74
Energy: -4.81 eV per atom
M_tot: 1.00 μB per formula unit
Crystal system: orthorhombic